No. 1
This record from Alexandria describes crystalline CaZrO3 at its relaxed geometry. The functional is GGA-PBE.

For the density of states at the Fermi level, the calculation gives 0.000 states/eV/atom. The magnetic moment comes out at 0.000 μB/f.u. The calculation puts the uncorrected formation energy at -3.25 eV/atom. The value obtained for the total energy is -8.34 eV per atom. Its space group is Pnma, No. 62.

abc: 5.6389 5.8321 8.0996
angles: 90.00 90.00 90.00
Element x y z (fractional)
O 0.8031 0.6995 0.4420
O 0.3031 0.8005 0.9420
O 0.6969 0.1995 0.0580
O 0.8031 0.6995 0.0580
O 0.1969 0.3005 0.9420
O 0.3031 0.8005 0.5580
O 0.8908 0.9572 0.7500
O 0.3908 0.5428 0.2500
O 0.1092 0.0428 0.2500
O 0.1969 0.3005 0.5580
O 0.6092 0.4572 0.7500
O 0.6969 0.1995 0.4420
Ca 0.0134 0.5510 0.7500
Ca 0.4866 0.0510 0.7500
Ca 0.5134 0.9490 0.2500
Ca 0.9866 0.4490 0.2500
Zr 0.0000 0.0000 0.5000
Zr 0.5000 0.5000 0.0000
Zr 0.5000 0.5000 0.5000
Zr 0.0000 0.0000 0.0000

***

No. 2
This record from Alexandria describes crystalline Tb2YMgO at its relaxed geometry. The functional is GGA-PBE.

For the density of states at the Fermi level, the calculation gives 0.812 states/eV/atom. The magnetic moment comes out at 0.000 μB/f.u. The calculation puts the uncorrected formation energy at -1.20 eV/atom. The value obtained for the total energy is -5.66 eV per atom. Its space group is P4/mmm, No. 123.

abc: 4.8476 4.8535 4.8535
angles: 90.00 90.00 90.00
Element x y z (fractional)
Mg 0.5000 0.5000 0.5000
Tb 0.0000 0.0000 0.5000
Tb 0.0000 0.5000 0.0000
O 0.0000 0.0000 0.0000
Y 0.5000 0.0000 0.0000